Material: TaHBr2
Method: DFT, PBE-GGA
State: relaxed

Unit cell a=5.637 b=5.637 c=6.217 alpha=63.04 beta=63.04 gamma=90.00
Fractional positions:
H: 0.500 0.500 0.000
H: 0.250 0.750 0.500
Br: 0.564 0.125 0.250
Br: 0.186 0.625 0.250
Br: 0.375 0.436 0.750
Br: 0.875 0.814 0.750
Ta: 0.000 0.000 0.000
Ta: 0.750 0.250 0.500



Material: TaH2Br5
Method: DFT, PBE-GGA
State: relaxed

Unit cell a=7.423 b=7.353 c=7.511 alpha=56.00 beta=60.33 gamma=59.52
Each line ends with the local moment (μB).
Fractional positions:
Ta: 0.957 0.000 0.997  0.69
H: 0.479 0.497 0.502  0.38
H: 0.966 0.507 0.498  0.01
Br: 0.855 0.792 0.440  0.00
Br: 0.301 0.680 0.974  0.03
Br: 0.955 0.319 0.025  0.03
Br: 0.081 0.208 0.559  0.00
Br: 0.628 0.997 0.004  -0.01



Material: Ta2VHBr
Method: DFT, PBE-GGA
State: relaxed

Unit cell a=4.564 b=3.404 c=4.564 alpha=90.00 beta=90.00 gamma=90.00
Fractional positions:
H: 0.000 0.000 0.000
V: 0.000 0.500 0.000
Br: 0.500 0.500 0.500
Ta: 0.000 0.000 0.500
Ta: 0.500 0.000 0.000



Material: ZrTaH2Br
Method: DFT, PBE-GGA
State: relaxed

Unit cell a=3.894 b=5.766 c=3.894 alpha=90.00 beta=90.00 gamma=90.00
Fractional positions:
H: 0.000 0.000 0.500
H: 0.500 0.000 0.000
Br: 0.000 0.000 0.000
Zr: 0.000 0.500 0.000
Ta: 0.500 0.500 0.500



Material: TbHBr2
Method: DFT, PBE-GGA
State: relaxed

Unit cell a=3.860 b=3.860 c=7.845 alpha=76.36 beta=76.36 gamma=60.00
Fractional positions:
Tb: 0.458 0.458 0.625
H: 0.792 0.792 0.625
Br: 0.044 0.044 0.879
Br: 0.206 0.206 0.371



Material: Tb4H2Br5
Method: DFT, PBE-GGA
State: relaxed

Unit cell a=3.848 b=8.367 c=9.083 alpha=103.37 beta=102.23 gamma=90.00
Fractional positions:
Tb: 0.646 0.583 0.292
Tb: 0.004 0.718 0.008
Tb: 0.354 0.417 0.708
Tb: 0.996 0.282 0.992
H: 0.541 0.660 0.083
H: 0.459 0.340 0.917
Br: 0.171 0.850 0.342
Br: 0.829 0.150 0.658
Br: 0.175 0.332 0.350
Br: 0.500 0.000 0.000
Br: 0.825 0.668 0.650



Material: Tb2H2Br5
Method: DFT, PBE-GGA
State: relaxed

Unit cell a=6.555 b=6.555 c=8.950 alpha=94.05 beta=120.69 gamma=101.92
Each line ends with the local moment (μB).
Fractional positions:
Tb: 0.727 0.273 0.000  0.17
Tb: 0.273 0.727 0.000  0.17
H: 0.547 0.516 0.062  0.06
H: 0.453 0.484 0.938  0.06
Br: 0.000 0.000 0.000  0.00
Br: 0.308 0.936 0.744  0.01
Br: 0.808 0.436 0.744  0.01
Br: 0.692 0.064 0.256  0.01
Br: 0.192 0.564 0.256  0.01



Material: Tb4HBr5
Method: DFT, PBE-GGA
State: relaxed

Unit cell a=3.760 b=8.335 c=8.942 alpha=103.06 beta=102.14 gamma=90.00
Fractional positions:
Tb: 0.359 0.926 0.719
Tb: 0.002 0.790 0.003
Tb: 0.641 0.074 0.281
Tb: 0.998 0.210 0.997
H: 0.500 0.000 0.000
Br: 0.834 0.653 0.668
Br: 0.823 0.171 0.646
Br: 0.177 0.829 0.354
Br: 0.500 0.500 0.000
Br: 0.166 0.347 0.332



Material: TbHBr2
Method: DFT, PBE-GGA
State: relaxed

Unit cell a=6.284 b=7.291 c=10.553 alpha=90.00 beta=90.00 gamma=90.00
Fractional positions:
Tb: 0.000 0.250 0.612
Tb: 0.000 0.750 0.388
Tb: 0.500 0.250 0.888
Tb: 0.500 0.750 0.112
H: 0.250 0.702 0.250
H: 0.750 0.298 0.750
H: 0.750 0.798 0.250
H: 0.250 0.202 0.750
Br: 0.746 0.928 0.924
Br: 0.254 0.072 0.076
Br: 0.246 0.572 0.576
Br: 0.754 0.428 0.424
Br: 0.746 0.428 0.076
Br: 0.254 0.572 0.924
Br: 0.246 0.072 0.424
Br: 0.754 0.928 0.576



Material: TbH2Br3
Method: DFT, PBE-GGA
State: relaxed

Unit cell a=8.071 b=8.071 c=7.366 alpha=90.00 beta=90.00 gamma=120.00
Each line ends with the local moment (μB).
Fractional positions:
Tb: 0.000 0.000 0.000  0.02
Tb: 0.000 0.000 0.500  0.02
H: 0.333 0.667 0.956  0.38
H: 0.667 0.333 0.456  0.38
H: 0.667 0.333 0.044  0.38
H: 0.333 0.667 0.544  0.38
Br: 0.691 0.845 0.250  0.01
Br: 0.155 0.309 0.250  0.01
Br: 0.155 0.845 0.250  0.01
Br: 0.309 0.155 0.750  0.01
Br: 0.845 0.691 0.750  0.01
Br: 0.845 0.155 0.750  0.01



Material: TbHBr3
Method: DFT, PBE-GGA
State: relaxed

Unit cell a=7.679 b=7.557 c=13.176 alpha=90.00 beta=107.62 gamma=90.00
Fractional positions:
Tb: 0.000 0.250 0.084
Tb: 0.000 0.750 0.584
Tb: 0.000 0.250 0.416
Tb: 0.000 0.750 0.916
H: 0.051 0.754 0.261
H: 0.949 0.754 0.239
H: 0.051 0.246 0.761
H: 0.949 0.246 0.739
Br: 0.757 0.022 0.474
Br: 0.757 0.978 0.974
Br: 0.246 0.750 0.793
Br: 0.243 0.522 0.060
Br: 0.246 0.250 0.293
Br: 0.243 0.978 0.526
Br: 0.757 0.522 0.440
Br: 0.754 0.750 0.707
Br: 0.757 0.478 0.940
Br: 0.754 0.250 0.207
Br: 0.243 0.022 0.026
Br: 0.243 0.478 0.560



Material: TcH2Br8
Method: DFT, PBE-GGA
State: relaxed

Unit cell a=5.642 b=8.359 c=8.359 alpha=65.31 beta=90.24 gamma=90.24
Each line ends with the local moment (μB).
Fractional positions:
Tc: 0.000 0.000 0.000  0.82
H: 0.023 0.728 0.728  0.00
H: 0.977 0.272 0.272  0.00
Br: 0.742 0.875 0.260  -0.02
Br: 0.258 0.740 0.125  -0.02
Br: 0.750 0.853 0.853  0.01
Br: 0.250 0.147 0.147  0.01
Br: 0.742 0.260 0.875  -0.02
Br: 0.258 0.125 0.740  -0.02
Br: 0.186 0.647 0.647  -0.01
Br: 0.814 0.353 0.353  -0.01



Material: TcH2Br
Method: DFT, PBE-GGA
State: relaxed

Unit cell a=5.905 b=5.905 c=5.006 alpha=53.86 beta=53.86 gamma=90.00
Each line ends with the local moment (μB).
Fractional positions:
H: 0.759 0.125 0.250  -0.02
H: 0.991 0.625 0.250  -0.02
H: 0.375 0.241 0.750  -0.02
H: 0.875 0.009 0.750  -0.02
Tc: 0.000 0.000 0.000  1.61
Tc: 0.750 0.250 0.500  1.59
Br: 0.500 0.500 0.000  0.07
Br: 0.250 0.750 0.500  0.07



Material: TcHBr3
Method: DFT, PBE-GGA
State: relaxed

Unit cell a=5.208 b=5.208 c=5.208 alpha=90.00 beta=90.00 gamma=90.00
Each line ends with the local moment (μB).
Fractional positions:
H: 0.500 0.500 0.500  0.38
Tc: 0.000 0.000 0.000  2.83
Br: 0.000 0.500 0.000  0.12
Br: 0.000 0.000 0.500  0.08
Br: 0.500 0.000 0.000  0.19



Material: Tc2HBr
Method: DFT, PBE-GGA
State: relaxed

Unit cell a=4.165 b=4.165 c=4.165 alpha=60.00 beta=60.00 gamma=60.00
Fractional positions:
H: 0.000 0.000 0.000
Tc: 0.250 0.250 0.250
Tc: 0.750 0.750 0.750
Br: 0.500 0.500 0.500



Material: TcH2Br
Method: DFT, PBE-GGA
State: relaxed

Unit cell a=3.941 b=3.941 c=3.941 alpha=60.00 beta=60.00 gamma=60.00
Each line ends with the local moment (μB).
Fractional positions:
H: 0.250 0.250 0.250  -0.04
H: 0.750 0.750 0.750  -0.04
Tc: 0.500 0.500 0.500  1.54
Br: 0.000 0.000 0.000  -0.02



Material: Tc2HBr
Method: DFT, PBE-GGA
State: relaxed

Unit cell a=4.926 b=4.926 c=5.820 alpha=64.96 beta=64.96 gamma=90.00
Fractional positions:
H: 0.500 0.500 0.000
H: 0.250 0.750 0.500
Tc: 0.492 0.125 0.250
Tc: 0.258 0.625 0.250
Tc: 0.375 0.508 0.750
Tc: 0.875 0.742 0.750
Br: 0.000 0.000 0.000
Br: 0.750 0.250 0.500



Material: TcH3Br
Method: DFT, PBE-GGA
State: relaxed

Unit cell a=3.787 b=3.787 c=3.787 alpha=90.00 beta=90.00 gamma=90.00
Each line ends with the local moment (μB).
Fractional positions:
H: 0.000 0.500 0.000  0.01
H: 0.000 0.000 0.500  0.02
H: 0.500 0.000 0.000  0.00
Tc: 0.500 0.500 0.500  2.80
Br: 0.000 0.000 0.000  0.08



Material: TcH3Br
Method: DFT, PBE-GGA
State: relaxed

Unit cell a=3.660 b=3.660 c=3.660 alpha=90.00 beta=90.00 gamma=90.00
Fractional positions:
H: 0.000 0.500 0.000
H: 0.000 0.000 0.500
H: 0.500 0.000 0.000
Tc: 0.000 0.000 0.000
Br: 0.500 0.500 0.500



Material: TcHBr3
Method: DFT, PBE-GGA
State: relaxed

Unit cell a=4.485 b=4.485 c=4.485 alpha=90.00 beta=90.00 gamma=90.00
Fractional positions:
H: 0.000 0.000 0.000
Tc: 0.500 0.500 0.500
Br: 0.000 0.500 0.000
Br: 0.000 0.000 0.500
Br: 0.500 0.000 0.000



Material: TlTcH2Br8
Method: DFT, PBE-GGA
State: relaxed

Unit cell a=7.227 b=6.752 c=8.129 alpha=88.76 beta=89.01 gamma=86.32
Each line ends with the local moment (μB).
Fractional positions:
Tl: 0.000 0.000 0.500  -0.08
Tc: 0.000 0.000 0.000  1.81
H: 0.303 0.253 0.724  0.00
H: 0.697 0.747 0.276  0.00
Br: 0.171 0.795 0.219  -0.01
Br: 0.730 0.780 0.025  0.06
Br: 0.855 0.224 0.217  -0.01
Br: 0.829 0.205 0.781  -0.01
Br: 0.270 0.220 0.975  0.06
Br: 0.145 0.776 0.783  -0.01
Br: 0.674 0.721 0.462  -0.01
Br: 0.326 0.279 0.538  -0.01



Material: TeH2Br
Method: DFT, PBE-GGA
State: relaxed

Unit cell a=4.335 b=4.335 c=4.335 alpha=60.00 beta=60.00 gamma=60.00
Fractional positions:
H: 0.250 0.250 0.250
H: 0.750 0.750 0.750
Te: 0.500 0.500 0.500
Br: 0.000 0.000 0.000



Material: TeHBr2
Method: DFT, PBE-GGA
State: relaxed

Unit cell a=5.166 b=5.166 c=5.166 alpha=60.00 beta=60.00 gamma=60.00
Each line ends with the local moment (μB).
Fractional positions:
H: 0.000 0.000 0.000  0.36
Te: 0.500 0.500 0.500  0.10
Br: 0.250 0.250 0.250  0.04
Br: 0.750 0.750 0.750  0.04



Material: TeHBr2
Method: DFT, PBE-GGA
State: relaxed

Unit cell a=8.437 b=8.437 c=8.437 alpha=24.83 beta=24.83 gamma=24.83
Each line ends with the local moment (μB).
Fractional positions:
H: 0.500 0.500 0.500  0.06
Te: 0.000 0.000 0.000  0.00
Br: 0.890 0.890 0.890  0.00
Br: 0.110 0.110 0.110  0.00



Material: TeHBr3
Method: DFT, PBE-GGA
State: relaxed

Unit cell a=5.594 b=5.594 c=5.594 alpha=90.00 beta=90.00 gamma=90.00
Each line ends with the local moment (μB).
Fractional positions:
H: 0.500 0.500 0.500  0.38
Te: 0.000 0.000 0.000  -0.01
Br: 0.000 0.500 0.000  0.00
Br: 0.000 0.000 0.500  0.00
Br: 0.500 0.000 0.000  0.01



Taking the records one at a time from the top gives energy values of -31.52; -28.96; -34.95; -22.30; -17.46; -47.42; -35.39; -42.89; -66.16; -38.39; -81.74; -32.57; -33.17; -16.67; -20.88; -13.58; -46.21; -13.50; -18.33; -12.57; -37.49; -7.29; -6.79; -8.17; -10.22 eV per cell.
Taking the records one at a time from the top gives DOS at the Fermi energy values of 1.790; 2.601; 3.653; 4.347; 0.000; 2.059; 0.627; 3.709; 0.000; 0.000; 0.000; 4.817; 3.910; 1.530; 3.708; 3.304; 6.023; 3.510; 3.808; 4.881; 2.177; 2.282; 4.232; 1.373; 1.670 states/eV/cell.
Taking the records one at a time from the top gives total magnetization values of 0.00; 2.00; 0.00; 0.00; 0.00; 0.10; 0.97; 0.00; 0.00; 3.99; 0.00; 0.80; 3.53; 4.61; 0.00; 1.56; 0.00; 3.20; 0.00; 0.00; 2.06; 0.00; 1.11; 0.13; 0.96 Bohr magnetons per cell.